[1]
BePdSe | PBE-GGA | optimized geometry

Computed properties:
As for the space group: Pnma (62). The calculation puts the raw formation energy at -212 meV per atom.

Unit cell a=8.4692 b=3.5955 c=6.1527 alpha=90.00 beta=90.00 gamma=90.00
Fractional positions:
Se 0.9583 0.2500 0.7627
Be 0.5788 0.7500 0.8840
Se 0.5417 0.7500 0.2627
Pd 0.7405 0.2500 0.0514
Se 0.0417 0.7500 0.2373
Pd 0.7595 0.7500 0.5514
Be 0.0788 0.7500 0.6160
Pd 0.2595 0.7500 0.9486
Se 0.4583 0.2500 0.7373
Pd 0.2405 0.2500 0.4486
Be 0.9212 0.2500 0.3840
Be 0.4212 0.2500 0.1160

[2]
BaSbSeN2 | PBE-GGA | optimized geometry

Computed properties:
As for the space group: P4/mmm (123). The calculation puts the offset from the most stable computed form at 1269 meV per atom. The calculation puts the raw formation energy at 1550 meV per atom.

Unit cell a=4.4327 b=4.4327 c=6.3815 alpha=90.00 beta=90.00 gamma=90.00
Fractional positions:
Ba 0.0000 0.0000 0.0000
N 0.5000 0.0000 0.0000
Se 0.0000 0.0000 0.5000
Sb 0.5000 0.5000 0.5000
N 0.0000 0.5000 0.0000

[3]
HfPS2Br | PBE-GGA | optimized geometry

Computed properties:
As for the space group: P4/mmm (123). The calculation puts the offset from the most stable computed form at 0 meV per atom. The calculation puts the raw formation energy at -93 meV per atom.

Unit cell a=4.8261 b=4.8261 c=5.3863 alpha=90.00 beta=90.00 gamma=90.00
Fractional positions:
Hf 0.0000 0.0000 0.0000
Br 0.5000 0.5000 0.5000
P 0.0000 0.0000 0.5000
S 0.0000 0.5000 0.0000
S 0.5000 0.0000 0.0000

[4]
CdAs | PBE-GGA | optimized geometry

Computed properties:
As for the space group: P6_3/mmc (194). The calculation puts the offset from the most stable computed form at 237 meV per atom. The formation energy is 0.155 eV/atom.

Unit cell a=4.2214 b=4.2214 c=6.0473 alpha=90.00 beta=90.00 gamma=120.00
Fractional positions:
Cd 0.0000 0.0000 0.0000
As 0.6667 0.3333 0.7500
Cd 0.0000 0.0000 0.5000
As 0.3333 0.6667 0.2500